The following is a DFT calculation (PBE) of a relaxed Sr2InCl crystal.

Output
ΔE_f (raw) = -1.096 eV/atom
offset from the most stable computed form = 15.5 meV/atom
ρ = 3.8 g/cm³

Lattice parameters (Å, degrees): 4.203 3.890 8.729 90.00 90.07 90.00
Fractional coordinates of all 4 atoms:
Sr (0.001, 0.000, 0.232)
Sr (0.999, 0.000, 0.768)
In (0.500, 0.500, 0.000)
Cl (0.000, 0.500, 0.500)